## LiCoBO3 (GGA+U)

Data for a relaxed structure of LiCoBO3.

a = 5.239 Å, b = 8.453 Å, c = 6.628 Å
α = 90.00°, β = 112.04°, γ = 90.00°
Atoms (fractional coordinates):
Li (0.170, 0.053, 0.399)
Li (0.170, 0.447, 0.899)
Li (0.830, 0.553, 0.101)
Li (0.830, 0.947, 0.601)
Co (0.391, 0.717, 0.274)
Co (0.391, 0.783, 0.774)
Co (0.609, 0.217, 0.226)
Co (0.609, 0.283, 0.726)
B (0.177, 0.126, 0.803)
B (0.177, 0.374, 0.303)
B (0.823, 0.626, 0.697)
B (0.823, 0.874, 0.197)
O (0.091, 0.635, 0.717)
O (0.091, 0.865, 0.217)
O (0.257, 0.000, 0.706)
O (0.257, 0.500, 0.206)
O (0.368, 0.248, 0.902)
O (0.368, 0.252, 0.402)
O (0.632, 0.748, 0.598)
O (0.632, 0.752, 0.098)
O (0.743, 0.000, 0.294)
O (0.743, 0.500, 0.794)
O (0.909, 0.135, 0.783)
O (0.909, 0.365, 0.283)

Output
SG ... No. 14
E ... -6.6536 eV per atom
V ... 11.34 Å³ per atom